{
  "formula": "CrTc2Ir",
  "functional": "PBEsol",
  "state": "optimized geometry",
  "dft_energy_ry_per_atom": -0.7837,
  "ef_ev_per_atom": -0.01,
  "lattice_angstrom": [[2.677, 0.000, 0.000], [0.000, 3.728, 0.000], [0.000, 0.000, 5.369]],
  "species": ["Tc", "Tc", "Ir", "Cr"],
  "frac_coords": [[0.000, 0.000, 0.769], [0.000, 0.000, 0.231], [0.500, 0.500, 0.500], [0.500, 0.500, 0.000]]
}

{
  "formula": "YSiRu",
  "functional": "PBEsol",
  "state": "optimized geometry",
  "dft_energy_ry_per_atom": -0.5772,
  "formation_energy_uncorrected_ev_per_fu": -0.8,
  "lattice_angstrom": [[-1.926, -1.814, -3.458], [-3.600, -2.393, 0.519], [-3.837, 1.510, -1.396]],
  "species": ["Si", "Ru", "Y"],
  "frac_coords": [[0.000, 0.000, 0.000], [0.250, 0.250, 0.250], [0.500, 0.500, 0.500]]
}